DFT (GGA-PBE) results for a relaxed Mg4In3 crystal.

```
Mg4In3
1.0
3.2546 0.0000 0.0000
0.0000 4.4025 0.0000
0.0000 0.0000 22.7541
Mg In
8 6
Cartesian
0.0000 0.0000 1.6258
0.0000 0.0000 4.8600
0.0000 0.0000 17.8941
0.0000 0.0000 21.1283
1.6273 2.2012 6.5171
1.6273 2.2012 9.7512
1.6273 2.2012 13.0029
1.6273 2.2012 16.2370
0.0000 0.0000 8.0577
0.0000 0.0000 11.3771
0.0000 0.0000 14.6964
1.6273 2.2012 0.0000
1.6273 2.2012 3.3194
1.6273 2.2012 19.4347
```

Total magnetic moment ... 0.00 Bohr magnetons per cell
ΔE to the lowest computed polymorph ... 0.0 kJ/mol of atoms
Energy of formation from the pure elements ... -0.085 eV per atom
Crystal system ... orthorhombic

***

DFT (GGA-PBE) results for a relaxed Mg3In crystal.

```
Mg3In
1.0
3.3041 0.0000 0.0000
-1.6521 2.8615 0.0000
0.0000 0.0000 10.0015
Mg In
3 1
Cartesian
0.0000 0.0000 0.0000
0.0000 1.9076 2.5426
0.0000 1.9076 7.4589
0.0000 0.0000 5.0007
```

Total magnetic moment ... 0.00 Bohr magnetons per cell
Energy of formation from the pure elements ... -0.027 eV per atom
Crystal system ... hexagonal

***

DFT (GGA-PBE) results for a relaxed MgIn crystal.

```
MgIn
1.0
3.3908 0.0000 0.0000
-1.6954 2.9366 0.0000
0.0000 0.0000 4.8684
Mg In
1 1
Cartesian
0.0000 0.0000 0.0000
1.6954 0.9789 2.4342
```

Total magnetic moment ... 0.00 Bohr magnetons per cell
Energy of formation from the pure elements ... -0.051 eV per atom
Crystal system ... hexagonal

***

DFT (GGA-PBE) results for a relaxed Mg5In6 crystal.

```
Mg5In6
1.0
4.1763 -6.1706 0.0000
4.1763 6.1706 0.0000
-2.2538 0.0000 5.2500
Mg In
5 6
Cartesian
0.0000 0.0000 0.0000
3.0494 4.4224 2.6250
4.1763 2.7381 0.0000
4.1763 -2.7381 0.0000
3.0494 -4.4224 2.6250
1.7979 1.6584 1.7839
0.6910 0.0000 4.3479
1.7979 -1.6584 1.7839
4.3009 1.6584 3.4661
5.4078 0.0000 0.9020
4.3009 -1.6584 3.4661
```

Total magnetic moment ... 0.00 Bohr magnetons per cell
ΔE to the lowest computed polymorph ... 1.7 kJ/mol of atoms
Energy of formation from the pure elements ... -0.030 eV per atom
Crystal system ... monoclinic

***

DFT (GGA-PBE) results for a relaxed Mg3In8 crystal.

```
Mg3In8
1.0
5.0918 -2.3167 0.0000
5.0918 2.3167 0.0000
-3.0347 0.0000 11.7162
Mg In
3 8
Cartesian
0.0000 0.0000 0.0000
-0.9835 0.0000 7.4500
8.1323 0.0000 4.2661
1.0175 0.0000 3.2284
0.0098 0.0000 10.6637
2.0762 0.0000 6.3926
4.0816 0.0000 2.1431
3.0672 0.0000 9.5731
5.0726 0.0000 5.3236
7.1390 0.0000 1.0525
6.1313 0.0000 8.4878
```

Total magnetic moment ... 0.00 Bohr magnetons per cell
ΔE to the lowest computed polymorph ... 0.0 kJ/mol of atoms
Energy of formation from the pure elements ... -0.039 eV per atom
Crystal system ... monoclinic

***

DFT (GGA-PBE) results for a relaxed Mg13In2 crystal.

```
Mg13In2
1.0
4.0037 2.3115 7.5664
-4.0037 2.3115 7.5664
0.0000 -4.6231 7.5664
Mg In
13 2
Cartesian
0.0000 0.0000 0.0000
0.0000 -1.8046 5.3752
-1.5628 0.9023 5.3752
0.0000 -1.7590 8.4804
-1.5233 0.8795 8.4804
-1.5233 -0.8795 14.2189
1.5628 0.9023 5.3752
-1.5628 -0.9023 17.3241
1.5233 0.8795 8.4804
1.5233 -0.8795 14.2189
0.0000 1.7589 14.2189
1.5628 -0.9023 17.3241
0.0000 1.8046 17.3241
0.0000 0.0000 2.9930
0.0000 0.0000 19.7062
```

Total magnetic moment ... 0.00 Bohr magnetons per cell
Energy of formation from the pure elements ... 0.187 eV per atom
Crystal system ... trigonal

***

> What is the total magnetic moment in the third record?

0.00 Bohr magnetons per cell